## BaNb10SiO19 (GGA-PBEsol)

Data for an optimized crystal structure of BaNb10SiO19.

Structure (POSCAR):
```
BaNb10SiO19
1.0
-5.521 -2.296 -4.983
0.122 -2.832 7.249
-8.491 10.881 4.394
Si O Nb Ba
2 38 20 2
Direct
0.000 0.000 0.610
0.000 0.000 0.110
0.636 0.543 0.417
0.733 0.156 0.239
0.900 0.402 0.079
0.844 0.577 0.239
0.742 0.947 0.404
0.866 0.566 0.747
0.053 0.795 0.404
0.228 0.075 0.580
0.364 0.457 0.917
0.498 0.900 0.579
0.577 0.733 0.739
0.502 0.100 0.079
0.543 0.907 0.917
0.402 0.502 0.579
0.153 0.228 0.080
0.100 0.598 0.579
0.947 0.205 0.904
0.772 0.925 0.080
0.000 0.000 0.725
0.907 0.364 0.417
0.700 0.134 0.747
0.598 0.498 0.079
0.566 0.700 0.247
0.258 0.053 0.904
0.423 0.267 0.239
0.925 0.153 0.580
0.300 0.866 0.247
0.434 0.300 0.747
0.156 0.423 0.739
0.847 0.772 0.580
0.795 0.742 0.904
0.205 0.258 0.404
0.267 0.844 0.739
0.093 0.636 0.917
0.075 0.847 0.080
0.457 0.093 0.417
0.000 0.000 0.225
0.134 0.434 0.247
0.636 0.524 0.661
0.820 0.772 0.327
0.689 0.136 0.498
0.228 0.048 0.327
0.772 0.952 0.827
0.136 0.446 0.998
0.180 0.228 0.827
0.446 0.311 0.498
0.864 0.554 0.498
0.476 0.112 0.661
0.364 0.476 0.161
0.333 0.667 0.667
0.048 0.820 0.827
0.311 0.864 0.998
0.952 0.180 0.327
0.554 0.689 0.998
0.667 0.333 0.167
0.524 0.888 0.161
0.888 0.364 0.661
0.112 0.636 0.161
0.333 0.667 0.407
0.667 0.333 0.907
```

Total magnetic moment: 0.00 μB/atom
Energy relative to the elements, uncorrected: -239.6 kJ per mole of atoms
Raw total energy: -585.64 eV/cell


## Ba6Ti2Nb10Si8O51 (GGA-PBEsol)

Data for an optimized crystal structure of Ba6Ti2Nb10Si8O51.

Structure (POSCAR):
```
Ba6Ti2Nb10Si8O51
1.0
-0.853 -8.961 0.816
7.594 -5.904 -7.055
7.104 -4.441 8.491
Nb O Si Ba Ti
10 51 8 6 2
Direct
0.999 0.992 0.745
0.237 0.263 0.009
0.237 0.009 0.263
0.241 0.501 0.758
0.757 0.622 0.878
0.757 0.878 0.622
0.241 0.758 0.501
0.764 0.127 0.382
0.999 0.745 0.992
0.764 0.382 0.127
0.683 0.823 0.325
0.280 0.363 0.863
0.507 0.451 0.235
0.000 0.139 0.644
0.318 0.664 0.167
0.700 0.762 0.547
0.700 0.547 0.762
0.236 0.636 0.636
0.182 0.616 0.884
0.700 0.048 0.269
0.700 0.269 0.048
0.828 0.385 0.590
0.831 0.465 0.215
0.318 0.167 0.664
0.831 0.215 0.465
0.000 0.794 0.531
0.495 0.483 0.700
0.000 0.531 0.794
0.507 0.731 0.950
0.828 0.590 0.385
0.507 0.950 0.731
0.168 0.132 0.379
0.818 0.890 0.097
0.819 0.973 0.707
0.000 0.295 0.030
0.720 0.003 0.503
0.280 0.863 0.363
0.168 0.379 0.132
0.764 0.752 0.752
0.237 0.131 0.131
0.495 0.700 0.483
0.490 0.990 0.209
0.178 0.800 0.009
0.003 0.857 0.857
0.178 0.009 0.800
0.175 0.503 0.298
0.507 0.235 0.451
0.818 0.097 0.890
0.182 0.884 0.616
0.000 0.644 0.139
0.306 0.896 0.117
0.764 0.251 0.251
0.295 0.399 0.614
0.819 0.707 0.973
0.175 0.298 0.503
0.000 0.030 0.295
0.306 0.117 0.896
0.720 0.503 0.003
0.490 0.209 0.990
0.295 0.614 0.399
0.683 0.325 0.823
0.327 0.770 0.066
0.672 0.230 0.935
0.677 0.431 0.722
0.323 0.270 0.561
0.677 0.722 0.431
0.672 0.935 0.230
0.327 0.066 0.770
0.323 0.561 0.270
0.000 0.553 0.553
0.413 0.247 0.247
0.000 0.056 0.056
0.403 0.748 0.748
0.593 0.450 0.450
0.588 0.954 0.954
0.001 0.230 0.517
0.001 0.517 0.230
```

Total magnetic moment: 0.00 μB/atom
Energy relative to the elements, uncorrected: -272.1 kJ per mole of atoms
Raw total energy: -668.62 eV/cell


## Ba2Sr3Nb10O30 (GGA-PBEsol)

Data for an optimized crystal structure of Ba2Sr3Nb10O30.

Structure (POSCAR):
```
Ba2Sr3Nb10O30
1.0
-0.337 3.983 0.012
-9.715 -0.847 7.978
8.088 0.656 9.597
Ba O Nb Sr
2 30 10 3
Direct
0.482 0.808 0.647
0.482 0.192 0.353
0.967 0.343 0.995
0.953 0.153 0.925
0.971 0.064 0.138
0.959 0.443 0.623
0.955 0.652 0.573
0.971 0.936 0.862
0.961 0.278 0.217
0.956 0.844 0.497
0.953 0.847 0.075
0.463 0.700 0.428
0.953 0.507 0.159
0.462 0.418 0.299
0.469 0.211 0.070
0.464 0.000 0.500
0.948 0.011 0.343
0.959 0.557 0.377
0.967 0.657 0.005
0.955 0.348 0.427
0.963 0.769 0.275
0.963 0.231 0.725
0.463 0.909 0.214
0.463 0.091 0.786
0.471 0.500 0.000
0.948 0.989 0.657
0.462 0.582 0.701
0.463 0.300 0.572
0.953 0.493 0.841
0.961 0.722 0.783
0.956 0.156 0.503
0.469 0.789 0.930
0.998 0.930 0.208
0.005 0.500 0.000
0.987 0.709 0.413
0.998 0.070 0.792
0.987 0.423 0.286
0.987 0.291 0.587
0.998 0.000 0.500
0.003 0.204 0.075
0.987 0.577 0.714
0.003 0.796 0.925
0.493 0.288 0.869
0.478 0.500 0.500
0.493 0.712 0.131
```

Total magnetic moment: 0.00 μB/atom
Energy relative to the elements, uncorrected: -263.6 kJ per mole of atoms
Raw total energy: -398.47 eV/cell


## Ba3SrNb2O9 (GGA-PBEsol)

Data for an optimized crystal structure of Ba3SrNb2O9.

Structure (POSCAR):
```
Ba3SrNb2O9
1.0
6.007 0.000 0.000
-3.003 5.202 0.000
0.000 0.000 15.947
O Ba Sr Nb
18 6 2 4
Direct
0.485 0.515 0.250
0.659 0.829 0.397
0.659 0.829 0.103
0.341 0.171 0.897
0.829 0.659 0.603
0.171 0.341 0.397
0.171 0.341 0.103
0.829 0.659 0.897
0.515 0.485 0.750
0.485 0.970 0.250
0.829 0.171 0.603
0.030 0.515 0.250
0.829 0.171 0.897
0.171 0.829 0.397
0.171 0.829 0.103
0.341 0.171 0.603
0.970 0.485 0.750
0.515 0.030 0.750
0.000 0.000 0.750
0.667 0.333 0.373
0.333 0.667 0.627
0.333 0.667 0.873
0.000 0.000 0.250
0.667 0.333 0.127
0.000 0.000 0.500
0.000 0.000 0.000
0.667 0.333 0.656
0.333 0.667 0.344
0.333 0.667 0.156
0.667 0.333 0.844
```

Total magnetic moment: 0.00 μB/atom
Energy relative to the elements, uncorrected: -274.5 kJ per mole of atoms
Raw total energy: -239.71 eV/cell


## Ba3TaNb4O15 (GGA-PBEsol)

Data for an optimized crystal structure of Ba3TaNb4O15.

Structure (POSCAR):
```
Ba3TaNb4O15
1.0
-1.626 3.578 -0.754
-4.503 -4.368 -11.019
-10.675 -3.628 5.801
O Nb Ba Ta
30 8 6 2
Direct
0.000 0.578 0.709
0.500 0.068 0.140
0.000 0.078 0.791
0.500 0.493 0.844
0.500 0.778 0.278
0.000 0.291 0.578
0.500 0.432 0.640
0.500 0.568 0.360
0.000 0.000 0.500
0.500 0.993 0.656
0.000 0.922 0.209
0.500 0.656 0.007
0.000 0.422 0.291
0.500 0.140 0.932
0.500 0.222 0.722
0.500 0.007 0.344
0.500 0.278 0.222
0.000 0.791 0.922
0.500 0.722 0.778
0.500 0.156 0.493
0.500 0.507 0.156
0.500 0.640 0.568
0.500 0.844 0.507
0.000 0.500 0.000
0.500 0.932 0.860
0.500 0.344 0.993
0.500 0.360 0.432
0.000 0.209 0.078
0.500 0.860 0.068
0.000 0.709 0.422
0.500 0.078 0.788
0.500 0.288 0.578
0.500 0.578 0.712
0.500 0.788 0.922
0.500 0.212 0.078
0.500 0.922 0.212
0.500 0.712 0.422
0.500 0.422 0.288
0.000 0.668 0.168
0.000 0.832 0.668
0.000 0.168 0.332
0.000 0.500 0.500
0.000 0.332 0.832
0.000 0.000 0.000
0.500 0.000 0.500
0.500 0.500 0.000
```

Total magnetic moment: 0.00 μB/atom
Energy relative to the elements, uncorrected: -272.5 kJ per mole of atoms
Raw total energy: -411.95 eV/cell


## Ba7Ti2Nb4O21 (GGA-PBEsol)

Data for an optimized crystal structure of Ba7Ti2Nb4O21.

Structure (POSCAR):
```
Ba7Ti2Nb4O21
1.0
5.769 0.000 0.000
2.885 4.996 0.000
2.885 1.665 16.510
Ti O Ba Nb
2 21 7 4
Direct
0.925 0.925 0.224
0.075 0.075 0.776
0.256 0.256 0.722
0.500 0.000 0.000
0.879 0.879 0.861
0.000 0.500 0.000
0.858 0.361 0.420
0.639 0.639 0.580
0.766 0.256 0.722
0.256 0.766 0.722
0.361 0.858 0.420
0.744 0.234 0.278
0.639 0.142 0.580
0.381 0.879 0.861
0.500 0.500 0.000
0.744 0.744 0.278
0.619 0.121 0.139
0.361 0.361 0.420
0.121 0.121 0.139
0.142 0.639 0.580
0.879 0.381 0.861
0.234 0.744 0.278
0.121 0.619 0.139
0.850 0.850 0.449
0.150 0.150 0.551
0.000 0.000 0.000
0.764 0.764 0.707
0.236 0.236 0.293
0.382 0.382 0.854
0.618 0.618 0.146
0.308 0.308 0.077
0.456 0.456 0.632
0.692 0.692 0.923
0.544 0.544 0.368
```

Total magnetic moment: 0.00 μB/atom
Energy relative to the elements, uncorrected: -284.2 kJ per mole of atoms
Raw total energy: -285.34 eV/cell


## Ba2Ti3Nb4O18 (GGA-PBEsol)

Data for an optimized crystal structure of Ba2Ti3Nb4O18.

Structure (POSCAR):
```
Ba2Ti3Nb4O18
1.0
7.417 0.000 -0.013
0.000 9.964 0.000
-3.692 0.000 9.312
O Nb Ti Ba
36 8 6 4
Direct
0.244 0.413 0.015
0.540 0.675 0.702
0.855 0.339 0.927
0.023 0.430 0.192
0.119 0.164 0.095
0.145 0.661 0.073
0.339 0.589 0.405
0.161 0.089 0.595
0.040 0.825 0.702
0.977 0.570 0.808
0.249 0.340 0.493
0.457 0.829 0.321
0.839 0.911 0.405
0.460 0.325 0.298
0.881 0.836 0.905
0.960 0.175 0.298
0.251 0.840 0.507
0.116 0.584 0.582
0.523 0.070 0.192
0.381 0.664 0.905
0.477 0.930 0.808
0.256 0.913 0.985
0.661 0.411 0.595
0.616 0.916 0.582
0.751 0.660 0.507
0.355 0.161 0.927
0.756 0.587 0.985
0.884 0.416 0.418
0.744 0.087 0.015
0.543 0.171 0.679
0.957 0.671 0.321
0.749 0.160 0.493
0.619 0.336 0.095
0.043 0.329 0.679
0.645 0.839 0.073
0.384 0.084 0.418
0.491 0.274 0.487
0.152 0.746 0.899
0.509 0.726 0.513
0.848 0.254 0.101
0.991 0.226 0.487
0.348 0.246 0.101
0.009 0.774 0.513
0.652 0.754 0.899
0.410 0.013 0.624
0.590 0.987 0.376
0.090 0.513 0.376
0.000 0.500 0.000
0.500 0.000 0.000
0.910 0.487 0.624
0.937 0.085 0.798
0.563 0.585 0.202
0.063 0.915 0.202
0.437 0.415 0.798
```

Total magnetic moment: 0.00 μB/atom
Energy relative to the elements, uncorrected: -275.4 kJ per mole of atoms
Raw total energy: -488.21 eV/cell


## Ba2NbVO6 (GGA-PBEsol)

Data for an optimized crystal structure of Ba2NbVO6.

Structure (POSCAR):
```
Ba2NbVO6
1.0
-1.102 -4.636 -3.076
4.808 0.344 2.989
-2.996 1.065 4.697
O Nb Ba V
6 1 2 1
Direct
0.000 0.755 0.245
0.491 0.245 0.245
0.000 0.755 0.755
0.509 0.755 0.755
0.000 0.245 0.245
0.000 0.245 0.755
0.000 0.500 0.500
0.500 0.750 0.250
0.500 0.250 0.750
0.000 0.000 0.000
```

Total magnetic moment: 0.08 μB/atom
Energy relative to the elements, uncorrected: -269.8 kJ per mole of atoms
Raw total energy: -84.21 eV/cell


## Ba3Nb2ZnO9 (GGA-PBEsol)

Data for an optimized crystal structure of Ba3Nb2ZnO9.

Structure (POSCAR):
```
Ba3Nb2ZnO9
1.0
-4.196 -0.662 3.937
-0.744 -1.992 -5.387
2.795 -6.254 1.927
Ba O Nb Zn
3 9 2 1
Direct
0.667 0.333 0.336
0.333 0.667 0.664
0.000 0.000 0.000
0.658 0.829 0.326
0.500 0.500 0.000
0.171 0.342 0.326
0.000 0.500 0.000
0.171 0.829 0.326
0.500 0.000 0.000
0.829 0.171 0.674
0.342 0.171 0.674
0.829 0.658 0.674
0.333 0.667 0.178
0.667 0.333 0.822
0.000 0.000 0.500
```

Total magnetic moment: 0.00 μB/atom
Energy relative to the elements, uncorrected: -259.9 kJ per mole of atoms
Raw total energy: -117.33 eV/cell